GGA-PBE SmAlPt3, relaxed; space group = Pnma (62); energy above the most stable polymorph in this dataset = 0.0 kJ/mol of formula units; ΔE_f = -0.9973 eV/atom; total energy = -6.314 eV/atom
1.0
8.4121 0.0000 0.0000
0.0000 4.1046 0.0000
0.0000 0.0000 10.6550
Sm Al Pt
4 4 12
direct
0.1804 0.2500 0.0093 Sm
0.3196 0.7500 0.5093 Sm
0.6804 0.2500 0.4907 Sm
0.8196 0.7500 0.9907 Sm
0.1029 0.2500 0.3579 Al
0.3971 0.7500 0.8579 Al
0.6029 0.2500 0.1421 Al
0.8971 0.7500 0.6421 Al
0.0698 0.2500 0.5866 Pt
0.1120 0.7500 0.7987 Pt
0.1483 0.7500 0.2169 Pt
0.3517 0.2500 0.7169 Pt
0.3880 0.2500 0.2987 Pt
0.4302 0.7500 0.0866 Pt
0.5698 0.2500 0.9134 Pt
0.6120 0.7500 0.7013 Pt
0.6483 0.7500 0.2831 Pt
0.8517 0.2500 0.7831 Pt
0.8880 0.2500 0.2013 Pt
0.9302 0.7500 0.4134 Pt